! Cd2CoAs (PBE-GGA, relaxed); values from VASP
! - Total moment: 0.3 μB/f.u.
! - Density of states at the Fermi level: 3.185 states/eV per cell
! - ΔE_f: 55.8 meV per atom
&SYSTEM
  ibrav = 0, nat = 4, ntyp = 3
/
ATOMIC_SPECIES
Cd 112.41 Cd.upf
As 74.92 As.upf
Co 58.93 Co.upf
ATOMIC_POSITIONS crystal
Cd 0.184 0.184 0.316
Cd 0.006 0.006 0.994
As 0.828 0.828 0.672
Co 0.482 0.482 0.518
CELL_PARAMETERS angstrom
6.450 0.002 0.000
5.789 2.844 0.000
1.601 0.372 4.237

***

! Cd2CoAs (PBE-GGA, relaxed); values from VASP
! - Total moment: 1.4 μB/f.u.
! - Density of states at the Fermi level: 4.766 states/eV per cell
! - ΔE_f: 411.1 meV per atom
&SYSTEM
  ibrav = 0, nat = 4, ntyp = 3
/
ATOMIC_SPECIES
Cd 112.41 Cd.upf
As 74.92 As.upf
Co 58.93 Co.upf
ATOMIC_POSITIONS crystal
Cd 0.000 0.000 0.000
Cd 0.250 0.250 0.250
As 0.500 0.500 0.500
Co 0.750 0.750 0.750
CELL_PARAMETERS angstrom
-3.700 -1.970 -2.108
0.634 -2.837 -3.684
-0.765 -4.610 0.430

***

! Cd2CoAs (PBE-GGA, relaxed); values from VASP
! - Total moment: 1.3 μB/f.u.
! - Density of states at the Fermi level: 5.490 states/eV per cell
! - ΔE_f: 321.5 meV per atom
&SYSTEM
  ibrav = 0, nat = 4, ntyp = 3
/
ATOMIC_SPECIES
As 74.92 As.upf
Cd 112.41 Cd.upf
Co 58.93 Co.upf
ATOMIC_POSITIONS crystal
As 0.750 0.250 0.500
Cd 0.000 0.000 0.000
Co 0.500 0.500 0.000
Cd 0.250 0.750 0.500
CELL_PARAMETERS angstrom
5.145 0.005 0.000
1.850 4.801 0.000
-3.498 -2.403 2.910

***

! CdCoAs4 (PBE-GGA, relaxed); values from VASP
! - Total moment: 2.1 μB/f.u.
! - Density of states at the Fermi level: 2.743 states/eV per cell
! - ΔE_f: 641.2 meV per atom
&SYSTEM
  ibrav = 0, nat = 6, ntyp = 3
/
ATOMIC_SPECIES
As 74.92 As.upf
Cd 112.41 Cd.upf
Co 58.93 Co.upf
ATOMIC_POSITIONS crystal
As 0.374 0.877 0.374
As 0.374 0.374 0.877
Cd 0.750 0.750 0.750
Co 0.000 0.000 0.000
As 0.374 0.374 0.374
As 0.877 0.374 0.374
CELL_PARAMETERS angstrom
1.334 1.759 5.079
-2.295 -2.376 4.445
3.066 -3.199 3.323

***

! CdCoAs3 (PBE-GGA, relaxed); values from VASP
! - Total moment: 0.0 μB/f.u.
! - Density of states at the Fermi level: 5.897 states/eV per cell
! - ΔE_f: 363.2 meV per atom
&SYSTEM
  ibrav = 0, nat = 5, ntyp = 3
/
ATOMIC_SPECIES
As 74.92 As.upf
Co 58.93 Co.upf
Cd 112.41 Cd.upf
ATOMIC_POSITIONS crystal
As 0.500 0.000 0.000
Co 0.000 0.000 0.000
As 0.000 0.500 0.000
As 0.000 0.000 0.500
Cd 0.500 0.500 0.500
CELL_PARAMETERS angstrom
-4.001 0.777 2.264
-2.267 0.186 -4.070
-0.769 -4.594 0.218

***

! CdCoAs (PBE-GGA, relaxed); values from VASP
! - Total moment: 0.3 μB/f.u.
! - Density of states at the Fermi level: 1.581 states/eV per cell
! - Energy above the lowest structure with this stoichiometry: 0 meV per atom
! - ΔE_f: 16.1 meV per atom
&SYSTEM
  ibrav = 0, nat = 3, ntyp = 3
/
ATOMIC_SPECIES
Co 58.93 Co.upf
Cd 112.41 Cd.upf
As 74.92 As.upf
ATOMIC_POSITIONS crystal
Co 0.649 0.649 0.351
Cd 0.309 0.309 0.691
As 0.042 0.042 0.958
CELL_PARAMETERS angstrom
-4.365 0.663 -4.592
-3.703 -2.177 -4.704
-2.503 -0.636 1.360

***

! Cd2CoAs (PBE-GGA, relaxed); values from VASP
! - Total moment: 0.3 μB/f.u.
! - Density of states at the Fermi level: 2.195 states/eV per cell
! - ΔE_f: 28.6 meV per atom
&SYSTEM
  ibrav = 0, nat = 4, ntyp = 3
/
ATOMIC_SPECIES
Cd 112.41 Cd.upf
As 74.92 As.upf
Co 58.93 Co.upf
ATOMIC_POSITIONS crystal
Cd 0.500 0.500 0.298
As 0.500 0.500 0.673
Cd 0.000 0.000 0.003
Co 0.000 0.000 0.526
CELL_PARAMETERS angstrom
-0.873 -2.753 -0.665
1.893 -0.050 -2.278
5.982 -3.114 5.040

***

! CdCoAs2 (PBE-GGA, relaxed); values from VASP
! - Total moment: 1.1 μB/f.u.
! - Density of states at the Fermi level: 3.741 states/eV per cell
! - ΔE_f: 418.8 meV per atom
&SYSTEM
  ibrav = 0, nat = 4, ntyp = 3
/
ATOMIC_SPECIES
As 74.92 As.upf
Co 58.93 Co.upf
Cd 112.41 Cd.upf
ATOMIC_POSITIONS crystal
As 0.250 0.750 0.500
Co 0.750 0.250 0.500
Cd 0.500 0.500 0.000
As 0.000 0.000 0.000
CELL_PARAMETERS angstrom
-0.876 4.271 2.856
-2.687 -0.850 4.385
4.195 -2.148 -2.227

***

! Cd2CoAs (PBE-GGA, relaxed); values from VASP
! - Total moment: 0.0 μB/f.u.
! - Density of states at the Fermi level: 0.372 states/eV per cell
! - ΔE_f: 103.3 meV per atom
&SYSTEM
  ibrav = 0, nat = 8, ntyp = 3
/
ATOMIC_SPECIES
Co 58.93 Co.upf
Cd 112.41 Cd.upf
As 74.92 As.upf
ATOMIC_POSITIONS crystal
Co 0.500 0.500 0.000
Cd 0.375 0.125 0.250
As 0.750 0.250 0.500
Cd 0.875 0.625 0.750
Cd 0.375 0.625 0.750
Co 0.250 0.750 0.500
Cd 0.375 0.625 0.250
As 0.000 0.000 0.000
CELL_PARAMETERS angstrom
-5.512 -7.429 3.765
-2.459 -2.862 -9.247
-2.268 -6.447 -2.795

***

! CdCo3As (PBE-GGA, relaxed); values from VASP
! - Total moment: 5.1 μB/f.u.
! - Density of states at the Fermi level: 10.709 states/eV per cell
! - Energy above the lowest structure with this stoichiometry: 1181 meV per atom
! - ΔE_f: 1689.9 meV per atom
&SYSTEM
  ibrav = 0, nat = 5, ntyp = 3
/
ATOMIC_SPECIES
As 74.92 As.upf
Co 58.93 Co.upf
Cd 112.41 Cd.upf
ATOMIC_POSITIONS crystal
As 0.500 0.500 0.500
Co 0.500 0.000 0.000
Co 0.000 0.000 0.500
Co 0.000 0.500 0.000
Cd 0.000 0.000 0.000
CELL_PARAMETERS angstrom
-4.141 -0.928 1.928
-0.182 -4.032 -2.332
2.133 -2.147 3.546

***

! CdCoAs2 (PBE-GGA, relaxed); values from VASP
! - Total moment: 0.0 μB/f.u.
! - Density of states at the Fermi level: 2.130 states/eV per cell
! - ΔE_f: 57.8 meV per atom
&SYSTEM
  ibrav = 0, nat = 4, ntyp = 3
/
ATOMIC_SPECIES
Co 58.93 Co.upf
As 74.92 As.upf
Cd 112.41 Cd.upf
ATOMIC_POSITIONS crystal
Co 0.500 0.779 0.780
As 0.500 0.227 0.228
Cd 0.000 0.577 0.576
As 0.000 0.917 0.916
CELL_PARAMETERS angstrom
-1.619 2.662 -1.535
1.059 -2.374 -5.235
-2.651 -3.718 -3.653

***

! CdCoAs2 (PBE-GGA, relaxed); values from VASP
! - Total moment: 0.0 μB/f.u.
! - Density of states at the Fermi level: 2.207 states/eV per cell
! - ΔE_f: 63.6 meV per atom
&SYSTEM
  ibrav = 0, nat = 4, ntyp = 3
/
ATOMIC_SPECIES
Cd 112.41 Cd.upf
As 74.92 As.upf
Co 58.93 Co.upf
ATOMIC_POSITIONS crystal
Cd 0.437 0.437 0.000
As 0.078 0.078 0.000
As 0.772 0.272 0.500
Co 0.213 0.713 0.500
CELL_PARAMETERS angstrom
7.235 0.075 -0.014
5.660 4.508 0.014
-6.253 -2.839 2.279